First-principles (PBE) data for a relaxed structure of SmTmPdRh, as listed in Alexandria.

Cell and atoms, written as POSCAR:
```
SmTmPdRh
1.0
4.924 0.000 0.000
2.462 4.264 0.000
2.462 1.421 4.021
Rh Tm Pd Sm
1 1 1 1
Direct
0.000 0.000 0.000
0.250 0.250 0.250
0.500 0.500 0.500
0.750 0.750 0.750
```

Output
Total magnetization = 0.00 μB per atom
Offset from the most stable computed form = 0.008 eV/atom
Raw total energy = -6.28 eV per atom

First-principles (PBE) data for a relaxed structure of KIr2Pt, as listed in Alexandria.

Cell and atoms, written as POSCAR:
```
KIr2Pt
1.0
-1.551 0.414 2.237
2.373 -2.020 2.020
4.136 6.520 1.660
K Ir Pt
1 2 1
Direct
0.000 0.000 0.502
0.500 0.500 0.165
0.000 0.000 0.019
0.500 0.500 0.814
```

Output
Total magnetization = 0.00 μB per atom
Offset from the most stable computed form = 0.055 eV/atom
Raw total energy = -5.84 eV per atom

First-principles (PBE) data for a relaxed structure of Nb3SbC, as listed in Alexandria.

Cell and atoms, written as POSCAR:
```
Nb3SbC
1.0
3.681 0.000 0.000
-1.841 6.864 1.215
0.000 1.055 7.507
Nb C Sb
6 2 2
Direct
0.688 0.376 0.888
0.171 0.343 0.569
0.043 0.087 0.153
0.312 0.624 0.112
0.829 0.657 0.431
0.957 0.913 0.847
0.105 0.210 0.862
0.895 0.790 0.138
0.357 0.715 0.694
0.643 0.285 0.306
```

Output
Total magnetization = 0.00 μB per atom
Raw total energy = -8.76 eV per atom
E_form (uncorrected) = -0.05 eV/atom